Below is a relaxed Sc3In5 crystal, with properties calculated at the PBE-GGA level.

Properties
* D(E_F): 0.63 states/eV per atom
* distance to the lowest polymorph of the same formula: 0.0 kJ/mol of formula units
* energy of formation: -0.367 eV/atom

Geometry as CIF:
```
data_Sc3In5
_symmetry_space_group_name_H-M 'C m m m'
_symmetry_Int_Tables_number 65
_symmetry_space_group_name_Hall '-C 2 2'
_cell_length_a 8.902
_cell_length_b 9.019
_cell_length_c 4.556
_cell_angle_alpha 90.00
_cell_angle_beta 90.00
_cell_angle_gamma 90.00
loop_
_atom_site_label
_atom_site_fract_x
_atom_site_fract_y
_atom_site_fract_z
Sc1 0.000 0.000 0.000
Sc2 0.000 0.269 0.500
In1 0.000 0.500 0.000
In2 0.230 0.000 0.500
In3 0.250 0.250 0.000
```

***

Below is a relaxed Sc2AgCl crystal, with properties calculated at the PBE-GGA level.

Properties
* D(E_F): 0.79 states/eV per atom
* distance to the lowest polymorph of the same formula: 137.6 kJ/mol of formula units
* uncorrected formation energy: -0.309 eV/atom

Geometry as CIF:
```
data_Sc2AgCl
_symmetry_space_group_name_H-M 'I -4 m 2'
_symmetry_Int_Tables_number 119
_symmetry_space_group_name_Hall 'I -4 -2'
_cell_length_a 3.884
_cell_length_b 3.884
_cell_length_c 11.378
_cell_angle_alpha 90.00
_cell_angle_beta 90.00
_cell_angle_gamma 90.00
loop_
_atom_site_label
_atom_site_fract_x
_atom_site_fract_y
_atom_site_fract_z
Sc1 0.000 0.000 0.000
Sc2 0.000 0.500 0.250
Ag1 0.000 0.500 0.750
Cl1 0.000 0.000 0.500
```